DyPaAl4 | GGA-PBE | relaxed

Cell lengths 5.545, 5.545, 5.545 Å; angles 60.00, 60.00, 60.00 degrees
Atoms (fractional coordinates):
1 Pa 0.000 0.000 0.000
2 Al 0.626 0.123 0.626
3 Al 0.123 0.626 0.626
4 Al 0.626 0.626 0.626
5 Al 0.626 0.626 0.123
6 Dy 0.250 0.250 0.250

Space group: No. 216
Theoretical density, g cm⁻³: 6.9
VASP energy, eV/f.u.: -31.12